TiRe2HgBr | PBE | optimized geometry

a = 5.114 Å, b = 5.114 Å, c = 5.344 Å
α = 90.00°, β = 90.00°, γ = 90.00°
Space group P4/mmm (No. 123)
Inequivalent atoms, fractional coordinates:
Ti  0.000  0.000  0.000 x1
Re  0.000  0.500  0.500 x2
Hg  0.500  0.500  0.500 x1
Br  0.500  0.500  0.000 x1

Its crystal system is tetragonal. As for the total magnetization: 3.99 μB per formula unit. The uncorrected formation energy comes out at 2586 meV/atom. The density comes out at 8.3 g cm⁻³.